No. 1
Computed, not measured: an optimized crystal structure of ZrCrPt at the PBE-GGA level of DFT.

Values from the calculation:
- Raw total energy: -8.361 eV per atom
- Excess energy over the best structure of this formula in the dataset: 0.0 meV per atom
- DFT formation energy: -290 meV/atom

```
data_ZrCrPt
_symmetry_space_group_name_H-M 'P 1'
_symmetry_Int_Tables_number 1
_cell_length_a 5.164
_cell_length_b 5.164
_cell_length_c 5.164
_cell_angle_alpha 141.69
_cell_angle_beta 141.69
_cell_angle_gamma 55.30
loop_
_symmetry_equiv_pos_as_xyz
'x,y,z'
loop_
_atom_site_label
_atom_site_fract_x
_atom_site_fract_y
_atom_site_fract_z
Zr1 0.000 0.000 0.000
Cr1 0.674 0.674 0.000
Pt1 0.335 0.335 0.000
```



No. 2
Computed, not measured: an optimized crystal structure of Pu4Cr at the PBE-GGA level of DFT.

Values from the calculation:
- Raw total energy: -12.775 eV per atom
- DFT formation energy: 615 meV/atom

```
data_Pu4Cr
_symmetry_space_group_name_H-M 'P 1'
_symmetry_Int_Tables_number 1
_cell_length_a 5.039
_cell_length_b 5.039
_cell_length_c 5.039
_cell_angle_alpha 90.00
_cell_angle_beta 90.00
_cell_angle_gamma 90.00
loop_
_symmetry_equiv_pos_as_xyz
'x,y,z'
loop_
_atom_site_label
_atom_site_fract_x
_atom_site_fract_y
_atom_site_fract_z
Pu1 0.000 0.000 0.000
Pu2 0.000 0.500 0.500
Pu3 0.500 0.000 0.500
Pu4 0.500 0.500 0.000
Cr1 0.500 0.500 0.500
```



No. 3
Computed, not measured: an optimized crystal structure of Rb3PuCr2S6 at the PBE-GGA level of DFT.

Values from the calculation:
- Raw total energy: -6.174 eV per atom
- ΔE_f (raw): -1.0700 eV per atom

```
data_Rb3PuCr2S6
_symmetry_space_group_name_H-M 'P 1'
_symmetry_Int_Tables_number 1
_cell_length_a 6.603
_cell_length_b 6.603
_cell_length_c 7.902
_cell_angle_alpha 98.05
_cell_angle_beta 98.05
_cell_angle_gamma 119.93
loop_
_symmetry_equiv_pos_as_xyz
'x,y,z'
loop_
_atom_site_label
_atom_site_fract_x
_atom_site_fract_y
_atom_site_fract_z
Rb1 0.000 0.000 0.000
Rb2 0.338 0.662 0.000
Rb3 0.662 0.338 0.000
Pu1 0.500 0.500 0.500
Cr1 0.167 0.833 0.500
Cr2 0.833 0.167 0.500
S1 0.080 0.440 0.322
S2 0.198 0.198 0.676
S3 0.440 0.080 0.322
S4 0.560 0.920 0.678
S5 0.802 0.802 0.324
S6 0.920 0.560 0.678
```



No. 4
Computed, not measured: an optimized crystal structure of Rb4Pu3CrS8 at the PBE-GGA level of DFT.

Values from the calculation:
- Raw total energy: -6.912 eV per atom
- ΔE_f (raw): -1.3173 eV per atom

```
data_Rb4Pu3CrS8
_symmetry_space_group_name_H-M 'P 1'
_symmetry_Int_Tables_number 1
_cell_length_a 8.108
_cell_length_b 8.108
_cell_length_c 8.939
_cell_angle_alpha 117.00
_cell_angle_beta 117.00
_cell_angle_gamma 59.79
loop_
_symmetry_equiv_pos_as_xyz
'x,y,z'
loop_
_atom_site_label
_atom_site_fract_x
_atom_site_fract_y
_atom_site_fract_z
Rb1 0.000 0.000 0.000
Rb2 0.000 0.500 0.000
Rb3 0.500 0.000 0.000
Rb4 0.500 0.500 0.000
Pu1 0.000 0.000 0.500
Pu2 0.000 0.500 0.500
Pu3 0.500 0.000 0.500
Cr1 0.500 0.500 0.500
S1 0.232 0.232 0.694
S2 0.249 0.718 0.683
S3 0.282 0.751 0.317
S4 0.284 0.284 0.319
S5 0.716 0.716 0.681
S6 0.718 0.249 0.683
S7 0.751 0.282 0.317
S8 0.768 0.768 0.306
```



No. 5
Computed, not measured: an optimized crystal structure of Rb2PuCrS4 at the PBE-GGA level of DFT.

Values from the calculation:
- Raw total energy: -6.465 eV per atom
- ΔE_f (raw): -1.1646 eV per atom

```
data_Rb2PuCrS4
_symmetry_space_group_name_H-M 'P 1'
_symmetry_Int_Tables_number 1
_cell_length_a 6.704
_cell_length_b 3.966
_cell_length_c 7.928
_cell_angle_alpha 90.00
_cell_angle_beta 106.78
_cell_angle_gamma 90.00
loop_
_symmetry_equiv_pos_as_xyz
'x,y,z'
loop_
_atom_site_label
_atom_site_fract_x
_atom_site_fract_y
_atom_site_fract_z
Rb1 0.000 0.000 0.000
Rb2 0.500 0.500 0.000
Pu1 0.000 0.500 0.500
Cr1 0.500 0.000 0.500
S1 0.250 0.000 0.686
S2 0.295 0.500 0.325
S3 0.705 0.500 0.675
S4 0.750 0.000 0.314
```



No. 6
Computed, not measured: an optimized crystal structure of Rb4Pu3CrSe8 at the PBE-GGA level of DFT.

Values from the calculation:
- Raw total energy: -6.488 eV per atom
- ΔE_f (raw): -1.2155 eV per atom

```
data_Rb4Pu3CrSe8
_symmetry_space_group_name_H-M 'P 1'
_symmetry_Int_Tables_number 1
_cell_length_a 8.477
_cell_length_b 8.477
_cell_length_c 9.322
_cell_angle_alpha 117.14
_cell_angle_beta 117.14
_cell_angle_gamma 59.73
loop_
_symmetry_equiv_pos_as_xyz
'x,y,z'
loop_
_atom_site_label
_atom_site_fract_x
_atom_site_fract_y
_atom_site_fract_z
Rb1 0.000 0.000 0.000
Rb2 0.000 0.500 0.000
Rb3 0.500 0.000 0.000
Rb4 0.500 0.500 0.000
Pu1 0.000 0.000 0.500
Pu2 0.000 0.500 0.500
Pu3 0.500 0.000 0.500
Cr1 0.500 0.500 0.500
Se1 0.234 0.234 0.698
Se2 0.251 0.719 0.687
Se3 0.281 0.749 0.313
Se4 0.283 0.283 0.315
Se5 0.717 0.717 0.685
Se6 0.719 0.251 0.687
Se7 0.749 0.281 0.313
Se8 0.766 0.766 0.302
```



Values for theoretical density, kg/m3, ordered as above
10696; 13344; 4616; 5305; 4897; 5931